1.
PBE DyTm2Sc, optimized geometry; SG = Fm-3m (225); energy relative to the lowest polymorph listed for this composition = 0.131 eV per atom
1.0
5.496 0.000 0.000
2.748 4.759 0.000
2.748 1.586 4.487
Sc Tm Dy
1 2 1
Direct
0.500 0.500 0.500
0.250 0.250 0.250
0.750 0.750 0.750
0.000 0.000 0.000

=====

2.
PBE Dy8Tm5Sc, optimized geometry; SG = I-4 (82)
1.0
-6.097 1.578 5.449
4.857 -6.209 2.688
4.360 7.051 -0.804
Dy Tm Sc
8 5 1
Direct
0.165 0.731 0.073
0.927 0.091 0.658
0.733 0.257 0.339
0.661 0.394 0.918
0.524 0.606 0.267
0.567 0.909 0.835
0.342 0.269 0.433
0.082 0.743 0.476
0.031 0.315 0.131
0.869 0.900 0.184
0.816 0.685 0.716
0.500 0.000 0.500
0.284 0.100 0.969
0.250 0.500 0.750

=====

3.
PBE Dy2Tm5Sc4, optimized geometry; SG = P2/m (10); energy relative to the lowest polymorph listed for this composition = 0.000 eV per atom
1.0
-1.903 -0.447 2.880
3.402 -7.853 1.030
8.229 3.292 5.949
Dy Tm Sc
2 5 4
Direct
0.000 0.924 0.637
0.000 0.076 0.363
0.000 0.454 0.332
0.000 0.852 0.133
0.000 0.500 0.000
0.000 0.148 0.867
0.000 0.546 0.668
0.500 0.250 0.574
0.500 0.799 0.872
0.500 0.750 0.426
0.500 0.201 0.128

=====

4.
PBE Dy3Tm4Sc3, optimized geometry; SG = Amm2 (38)
1.0
3.581 0.000 0.000
0.000 9.009 -0.079
0.000 0.000 9.009
Dy Tm Sc
3 4 3
Direct
0.000 0.503 0.002
0.000 0.998 0.497
0.500 0.170 0.830
0.000 0.630 0.370
0.000 0.378 0.622
0.000 0.865 0.876
0.000 0.124 0.135
0.500 0.829 0.171
0.500 0.332 0.329
0.500 0.671 0.668

=====

5.
PBE Dy2TmSc4, optimized geometry; SG = Cmmm (65); energy relative to the lowest polymorph listed for this composition = 0.003 eV per atom
1.0
3.365 0.000 0.000
0.000 7.554 -1.055
0.000 1.363 7.504
Dy Tm Sc
2 1 4
Direct
0.000 0.803 0.197
0.000 0.197 0.803
0.500 0.500 0.500
0.000 0.769 0.769
0.000 0.231 0.231
0.500 0.000 0.500
0.500 0.500 0.000

=====

6.
PBE Dy12TmSc6, optimized geometry; SG = Im-3 (204); energy relative to the lowest polymorph listed for this composition = 0.000 eV per atom
1.0
-0.937 -3.512 8.261
7.235 -3.617 -4.004
1.067 8.939 0.634
Dy Tm Sc
12 1 6
Direct
0.267 0.070 0.804
0.267 0.463 0.196
0.733 0.537 0.804
0.733 0.930 0.196
0.070 0.804 0.267
0.463 0.196 0.267
0.537 0.804 0.733
0.930 0.196 0.733
0.804 0.267 0.070
0.196 0.267 0.463
0.804 0.733 0.537
0.196 0.733 0.930
0.000 0.000 0.000
0.362 0.500 0.862
0.638 0.500 0.138
0.500 0.862 0.362
0.500 0.138 0.638
0.862 0.362 0.500
0.138 0.638 0.500

=====

7.
PBE Dy3Tm6Sc2, optimized geometry; SG = R-3m (166); energy relative to the lowest polymorph listed for this composition = 0.000 eV per atom
1.0
3.464 0.000 0.213
1.726 3.004 0.213
-0.162 -0.094 30.976
Dy Tm Sc
3 6 2
Direct
0.000 0.000 0.000
0.729 0.729 0.814
0.271 0.271 0.186
0.907 0.907 0.280
0.093 0.093 0.720
0.818 0.818 0.546
0.182 0.182 0.454
0.636 0.636 0.093
0.364 0.364 0.907
0.544 0.544 0.367
0.456 0.456 0.633

=====

8.
PBE Dy5Tm4Sc, optimized geometry; SG = I4mm (107); energy relative to the lowest polymorph listed for this composition = 0.220 eV per atom
1.0
5.700 0.000 0.000
2.850 7.408 0.000
2.850 0.000 7.408
Dy Tm Sc
5 4 1
Direct
0.771 0.374 0.000
0.145 0.000 0.626
0.771 0.000 0.374
0.145 0.626 0.000
0.675 0.000 0.000
0.449 0.323 0.676
0.772 0.676 0.677
0.125 0.324 0.323
0.449 0.677 0.324
0.208 0.000 0.000

=====

9.
PBE Dy5Tm5Sc2, optimized geometry; SG = C2/m (12)
1.0
-2.123 -3.031 3.228
7.680 -1.064 0.318
-3.739 8.642 5.655
Dy Tm Sc
5 5 2
Direct
0.164 0.329 0.499
0.747 0.495 0.749
0.253 0.505 0.251
0.836 0.671 0.501
0.000 0.000 0.000
0.500 0.000 0.500
0.668 0.335 0.000
0.581 0.162 0.250
0.419 0.838 0.750
0.332 0.665 0.000
0.084 0.168 0.752
0.916 0.832 0.248

=====

10.
PBE Dy3Tm5Sc2, optimized geometry; SG = Ibam (72); energy relative to the lowest polymorph listed for this composition = 0.300 eV per atom
1.0
-0.258 3.418 -5.151
-6.348 -5.159 -6.820
-6.179 8.400 2.167
Dy Tm Sc
6 10 4
Direct
0.250 0.000 0.000
0.750 0.000 0.000
0.403 0.287 0.908
0.597 0.713 0.092
0.903 0.908 0.287
0.097 0.092 0.713
0.250 0.500 0.500
0.750 0.500 0.500
0.501 0.749 0.749
0.999 0.251 0.251
0.499 0.251 0.251
0.001 0.749 0.749
0.114 0.550 0.222
0.886 0.450 0.778
0.614 0.222 0.550
0.386 0.778 0.450
0.197 0.645 0.962
0.803 0.355 0.038
0.697 0.962 0.645
0.303 0.038 0.355

=====

11.
PBE DyTm8Sc2, optimized geometry; SG = Immm (71); energy relative to the lowest polymorph listed for this composition = 0.000 eV per atom
1.0
-3.962 3.451 0.493
-4.908 -5.960 2.280
6.390 2.451 5.951
Dy Tm Sc
1 8 2
Direct
0.500 0.000 0.000
0.643 0.849 0.286
0.357 0.563 0.714
0.162 0.162 0.325
0.000 0.299 0.000
0.838 0.838 0.675
0.643 0.437 0.286
0.357 0.151 0.714
0.000 0.701 0.000
0.201 0.701 0.403
0.799 0.299 0.597

=====

12.
PBE Dy2Tm5Sc5, optimized geometry; SG = C2/m (12); energy relative to the lowest polymorph listed for this composition = 0.029 eV per atom
1.0
-4.098 0.030 -3.425
-3.241 -5.426 -0.334
-9.100 1.467 6.737
Dy Tm Sc
2 5 5
Direct
0.963 0.364 0.711
0.037 0.636 0.289
0.790 0.873 0.546
0.254 0.738 0.755
0.746 0.262 0.245
0.210 0.127 0.454
0.000 0.000 0.000
0.500 0.500 0.500
0.293 0.374 0.040
0.458 0.882 0.201
0.542 0.118 0.799
0.707 0.626 0.960

=====

13.
PBE DyTmSc2, optimized geometry; SG = R-3m (166); energy relative to the lowest polymorph listed for this composition = 0.014 eV per atom
1.0
-2.546 2.229 -0.360
-1.891 0.872 2.692
5.403 9.246 2.952
Sc Tm Dy
2 1 1
Direct
0.750 0.750 0.751
0.250 0.250 0.249
0.000 0.000 0.000
0.500 0.500 0.500

=====

14.
PBE Dy8Tm3Sc2, optimized geometry; SG = C2/m (12); energy relative to the lowest polymorph listed for this composition = 0.003 eV per atom
1.0
5.480 0.000 0.801
0.000 7.610 0.000
-1.405 -3.805 9.583
Dy Tm Sc
8 3 2
Direct
0.000 0.675 0.350
0.000 0.325 0.650
0.000 0.134 0.268
0.000 0.866 0.732
0.500 0.598 0.778
0.500 0.180 0.778
0.500 0.820 0.222
0.500 0.402 0.222
0.500 0.000 0.000
0.000 0.286 0.000
0.000 0.714 0.000
0.499 0.241 0.481
0.501 0.759 0.519

=====

15.
PBE Dy2Tm12Sc5, optimized geometry; SG = C2/m (12)
1.0
8.581 0.000 0.000
-4.291 7.808 1.192
0.000 -1.472 8.116
Dy Tm Sc
2 12 5
Direct
0.787 0.000 0.000
0.213 0.000 0.000
0.835 0.670 0.130
0.016 0.624 0.776
0.608 0.624 0.776
0.186 0.782 0.388
0.596 0.782 0.388
0.445 0.890 0.725
0.555 0.110 0.275
0.814 0.218 0.612
0.404 0.218 0.612
0.984 0.376 0.224
0.392 0.376 0.224
0.165 0.330 0.870
0.244 0.487 0.549
0.353 0.705 0.057
0.000 0.000 0.500
0.647 0.295 0.943
0.756 0.513 0.451

=====

16.
PBE DyTmSc5, optimized geometry; SG = P4/mmm (123)
1.0
5.052 0.000 0.000
0.000 5.052 0.000
0.000 0.000 7.686
Dy Tm Sc
1 1 5
Direct
0.000 0.000 0.500
0.500 0.500 0.000
0.000 0.500 0.774
0.000 0.500 0.226
0.500 0.000 0.774
0.500 0.000 0.226
0.500 0.500 0.500

=====

17.
PBE Dy2TmSc4, optimized geometry; SG = Cmmm (65); energy relative to the lowest polymorph listed for this composition = 0.000 eV per atom
1.0
5.218 0.000 0.000
0.000 3.604 0.000
0.000 -1.802 10.455
Dy Tm Sc
2 1 4
Direct
0.500 0.073 0.147
0.500 0.927 0.853
0.000 0.500 0.000
0.500 0.697 0.395
0.000 0.820 0.640
0.500 0.303 0.605
0.000 0.180 0.360

=====

18.
PBE Dy2TmSc, optimized geometry; SG = R3m (160); energy relative to the lowest polymorph listed for this composition = 0.002 eV per atom
1.0
-2.244 1.098 -2.448
-0.135 -1.616 -3.099
-8.492 -7.104 2.099
Dy Tm Sc
2 1 1
Direct
0.081 0.081 0.756
0.252 0.252 0.244
0.500 0.500 0.500
0.667 0.667 0.000

=====

19.
PBE Dy6Tm4Sc, optimized geometry; SG = I-42m (121); energy relative to the lowest polymorph listed for this composition = 0.166 eV per atom
1.0
6.457 0.000 0.000
0.000 6.457 0.000
-3.228 -3.228 8.421
Dy Tm Sc
6 4 1
Direct
0.857 0.486 0.344
0.486 0.857 0.344
0.514 0.514 0.656
0.000 0.500 0.000
0.143 0.143 0.656
0.500 0.000 0.000
0.048 0.689 0.737
0.952 0.952 0.263
0.689 0.048 0.737
0.311 0.311 0.263
0.500 0.500 0.000

=====

20.
PBE Dy7Tm2Sc, optimized geometry; SG = Cmmm (65)
1.0
5.081 0.000 0.000
0.000 9.514 -0.749
0.000 -4.961 8.153
Dy Tm Sc
7 2 1
Direct
0.000 0.807 0.193
0.000 0.193 0.807
0.500 0.073 0.284
0.500 0.927 0.716
0.500 0.284 0.073
0.500 0.716 0.927
0.500 0.500 0.500
0.500 0.702 0.298
0.500 0.298 0.702
0.000 0.000 0.000

=====

Number 1: ΔH_f (0 K) 0.14 eV per atom, Fermi-level density of states 9.983 states/eV/cell. Number 2: ΔH_f (0 K) 0.27 eV per atom, Fermi-level density of states 21.388 states/eV/cell. Number 3: ΔH_f (0 K) 0.11 eV per atom, Fermi-level density of states 16.012 states/eV/cell. Number 4: ΔH_f (0 K) 0.08 eV per atom, Fermi-level density of states 8.634 states/eV/cell. Number 5: ΔH_f (0 K) 0.18 eV per atom, Fermi-level density of states 11.675 states/eV/cell. Number 6: ΔH_f (0 K) 0.24 eV per atom, Fermi-level density of states 27.636 states/eV/cell. Number 7: ΔH_f (0 K) 0.04 eV per atom, Fermi-level density of states 16.379 states/eV/cell. Number 8: ΔH_f (0 K) 0.25 eV per atom, Fermi-level density of states 12.750 states/eV/cell. Number 9: ΔH_f (0 K) 0.04 eV per atom, Fermi-level density of states 16.776 states/eV/cell. Number 10: ΔH_f (0 K) 0.34 eV per atom, Fermi-level density of states 29.586 states/eV/cell. Number 11: ΔH_f (0 K) 0.13 eV per atom, Fermi-level density of states 17.773 states/eV/cell. Number 12: ΔH_f (0 K) 0.08 eV per atom, Fermi-level density of states 23.736 states/eV/cell. Number 13: ΔH_f (0 K) 0.06 eV per atom, Fermi-level density of states 6.371 states/eV/cell. Number 14: ΔH_f (0 K) 0.23 eV per atom, Fermi-level density of states 17.836 states/eV/cell. Number 15: ΔH_f (0 K) 0.15 eV per atom, Fermi-level density of states 31.204 states/eV/cell. Number 16: ΔH_f (0 K) 0.37 eV per atom, Fermi-level density of states 11.182 states/eV/cell. Number 17: ΔH_f (0 K) 0.17 eV per atom, Fermi-level density of states 11.287 states/eV/cell. Number 18: ΔH_f (0 K) 0.03 eV per atom, Fermi-level density of states 6.179 states/eV/cell. Number 19: ΔH_f (0 K) 0.30 eV per atom, Fermi-level density of states 13.541 states/eV/cell. Number 20: ΔH_f (0 K) 0.70 eV per atom, Fermi-level density of states 11.586 states/eV/cell.